Entry 1:
Density functional theory data (PBE) for an optimized crystal structure of SrHPb2.

Lattice parameters (Å, degrees): 7.116 7.116 9.263 90.00 90.00 90.00
Space group I-42d (No. 122)
Unique sites:
Sr  0.000  0.000  0.000 [4 per cell]
H  0.000  0.000  0.500 [4 per cell]
Pb  0.066  0.250  0.625 [8 per cell]

Results
Calculated volume in Å³/atom: 29.316
E above lowest polymorph in eV/atom: 0.0000

Entry 2:
Density functional theory data (PBE) for an optimized crystal structure of SrHPb3.

Lattice parameters (Å, degrees): 5.090 5.090 5.090 90.00 90.00 90.00
Space group Pm-3m (No. 221)
Unique sites:
Sr  0.000  0.000  0.000 [1 per cell]
H  0.500  0.500  0.500 [1 per cell]
Pb  0.000  0.500  0.500 [3 per cell]

Results
Calculated volume in Å³/atom: 26.376
E above lowest polymorph in eV/atom: 0.0000

Entry 3:
Density functional theory data (PBE) for an optimized crystal structure of Sr8HPb2.

Lattice parameters (Å, degrees): 21.648 5.133 8.318 90.00 90.54 90.00
Space group C2/m (No. 12)
Unique sites:
Sr  0.001  0.000  0.251 [4 per cell]
Sr  0.111  0.500  0.511 [4 per cell]
Sr  0.124  0.500  0.990 [4 per cell]
Sr  0.222  0.000  0.282 [4 per cell]
H  0.000  0.500  0.500 [2 per cell]
Pb  0.174  0.000  0.738 [4 per cell]

Results
Calculated volume in Å³/atom: 42.008
Final energy in eV per cell: -54.1

Entry 4:
Density functional theory data (PBE) for an optimized crystal structure of SrH2Pb.

Lattice parameters (Å, degrees): 6.581 6.581 6.581 90.00 90.00 90.00
Space group Fm-3m (No. 225)
Unique sites:
Sr  0.000  0.000  0.000 [4 per cell]
H  0.250  0.250  0.250 [8 per cell]
Pb  0.000  0.000  0.500 [4 per cell]

Results
Calculated volume in Å³/atom: 17.817
E above lowest polymorph in eV/atom: 0.1256

calculated volume of number 2 (SrHPb3)?
26.376 Å³/atom

The lowest calculated volume belongs to which entry?
SrH2Pb

calculated volume of number 2 (SrHPb3)?
26.376 Å³/atom